(1)
This record from Alexandria via LeMat-Bulk describes a relaxed structure of Ba2Zn2InPd5. The functional is PBE.

Properties
**Symmetry**: P4/mbm, No. 127
**ΔE_f**: -0.48 eV/atom
**Magnetization**: 0.00 μB per formula unit

Cell: 10.6121 10.6121 3.6740 Å, 90.00 90.00 90.00°
With the nearest neighbours (Å) after each atom.
Atoms (fractional coordinates):
Ba 0.1784 0.3216 0.0000  3 Zn 3.03-3.23, 10 Pd 3.25-3.36
Ba 0.3216 0.8216 0.0000  3 Zn 3.03-3.23, 10 Pd 3.25-3.36
Ba 0.6784 0.1784 0.0000  3 Zn 3.03-3.23, 10 Pd 3.25-3.36
Ba 0.8216 0.6784 0.0000  3 Zn 3.03-3.23, 10 Pd 3.25-3.36
Zn 0.1200 0.6200 0.0000  6 Pd 2.57-2.66
Zn 0.3800 0.1200 0.0000  6 Pd 2.57-2.66
Zn 0.6200 0.8800 0.0000  6 Pd 2.57-2.66
Zn 0.8800 0.3800 0.0000  6 Pd 2.57-2.66
In 0.0000 0.0000 0.0000  8 Pd 2.94
In 0.5000 0.5000 0.0000  8 Pd 2.94
Pd 0.0000 0.5000 0.5000  4 Zn 2.57
Pd 0.0608 0.7920 0.5000  2 Zn 2.66, 2 In 2.94
Pd 0.2080 0.0608 0.5000  2 Zn 2.66, 2 In 2.94
Pd 0.2920 0.5608 0.5000  2 Zn 2.66, 2 In 2.94
Pd 0.4392 0.2920 0.5000  2 Zn 2.66, 2 In 2.94
Pd 0.5000 0.0000 0.5000  4 Zn 2.57
Pd 0.5608 0.7080 0.5000  2 Zn 2.66, 2 In 2.94
Pd 0.7080 0.4392 0.5000  2 Zn 2.66, 2 In 2.94
Pd 0.7920 0.9392 0.5000  2 Zn 2.66, 2 In 2.94
Pd 0.9392 0.2080 0.5000  2 Zn 2.66, 2 In 2.94

(2)
This record from Alexandria via LeMat-Bulk describes a relaxed structure of MgOsRu. The functional is PBE.

Properties
**Symmetry**: P6_3/mmc, No. 194
**Offset from the most stable computed form**: 232 meV per atom
**ΔE_f**: 0.30 eV/atom
**Magnetization**: 0.00 μB per formula unit

Cell: 4.4142 4.4142 5.4915 Å, 90.00 90.00 120.00°
With the nearest neighbours (Å) after each atom.
Atoms (fractional coordinates):
Mg 0.0000 0.0000 0.0000  2 Mg 2.75, 6 Ru 2.89, 6 Os 2.89
Mg 0.0000 0.0000 0.5000  2 Mg 2.75, 6 Ru 2.89, 6 Os 2.89
Os 0.3333 0.6667 0.2500  5 Ru 2.55-2.75
Os 0.6667 0.3333 0.7500  5 Ru 2.55-2.75
Ru 0.3333 0.6667 0.7500  5 Os 2.55-2.75
Ru 0.6667 0.3333 0.2500  5 Os 2.55-2.75

(3)
This record from Alexandria via LeMat-Bulk describes a relaxed structure of Ba2B2PdS6. The functional is PBE.

Properties
**Symmetry**: R-3m, No. 166
**Magnetization**: 0.00 μB per formula unit
**E_form (uncorrected)**: -0.95 eV/atom

Cell: 7.6290 7.6290 7.6290 Å, 50.42 50.42 50.42°
With the nearest neighbours (Å) after each atom.
Atoms (fractional coordinates):
Ba 0.2306 0.2306 0.2306  9 S 3.27-3.51, 1 B 3.58
Ba 0.7694 0.7694 0.7694  9 S 3.27-3.51, 1 B 3.58
B 0.4103 0.4103 0.4103  3 S 1.83
B 0.5897 0.5897 0.5897  3 S 1.83
Pd 0.0000 0.0000 0.0000  6 S 2.54
S 0.2544 0.2544 0.7412  1 B 1.83
S 0.2544 0.7412 0.2544  1 B 1.83
S 0.2588 0.7456 0.7456  1 B 1.83
S 0.7412 0.2544 0.2544  1 B 1.83
S 0.7456 0.2588 0.7456  1 B 1.83
S 0.7456 0.7456 0.2588  1 B 1.83

(4)
This record from Alexandria via LeMat-Bulk describes a relaxed structure of Er2Be2SnRh5. The functional is PBE.

Properties
**Symmetry**: P4/mbm, No. 127
**ΔE_f**: -0.85 eV/atom
**Magnetization**: 0.00 μB per formula unit

Cell: 9.6692 9.6692 3.2987 Å, 90.00 90.00 90.00°
With the nearest neighbours (Å) after each atom.
Atoms (fractional coordinates):
Er 0.1762 0.3238 0.0000  3 Be 2.80-2.91, 10 Rh 2.92-3.07
Er 0.3238 0.8238 0.0000  3 Be 2.80-2.91, 10 Rh 2.92-3.07
Er 0.6762 0.1762 0.0000  3 Be 2.80-2.91, 10 Rh 2.92-3.07
Er 0.8238 0.6762 0.0000  3 Be 2.80-2.91, 10 Rh 2.92-3.07
Be 0.1188 0.6188 0.0000  6 Rh 2.32-2.34
Be 0.3812 0.1188 0.0000  6 Rh 2.32-2.34
Be 0.6188 0.8812 0.0000  6 Rh 2.32-2.34
Be 0.8812 0.3812 0.0000  6 Rh 2.32-2.34
Sn 0.0000 0.0000 0.0000  8 Rh 2.75
Sn 0.5000 0.5000 0.0000  8 Rh 2.75
Rh 0.0000 0.5000 0.5000  4 Be 2.32
Rh 0.0689 0.7829 0.5000  2 Be 2.34
Rh 0.2171 0.0689 0.5000  2 Be 2.34
Rh 0.2829 0.5689 0.5000  2 Be 2.34
Rh 0.4311 0.2829 0.5000  2 Be 2.34
Rh 0.5000 0.0000 0.5000  4 Be 2.32
Rh 0.5689 0.7171 0.5000  2 Be 2.34
Rh 0.7171 0.4311 0.5000  2 Be 2.34
Rh 0.7829 0.9311 0.5000  2 Be 2.34
Rh 0.9311 0.2171 0.5000  2 Be 2.34

(5)
This record from Alexandria via LeMat-Bulk describes a relaxed structure of TbCe2Mo2C4. The functional is PBE.

Properties
**Symmetry**: C2/m, No. 12
**ΔE_f**: -0.05 eV/atom
**Magnetization**: 0.00 μB per formula unit

Cell: 7.1649 7.1649 6.0500 Å, 106.73 106.73 28.09°
With the nearest neighbours (Å) after each atom.
Atoms (fractional coordinates):
Tb 0.0000 0.0000 0.0000  4 C 2.50
Ce 0.1292 0.1292 0.5282  5 C 2.61-2.76
Ce 0.8708 0.8708 0.4718  5 C 2.61-2.76
Mo 0.3220 0.3220 0.9916  4 C 2.01-2.18
Mo 0.6780 0.6780 0.0084  4 C 2.01-2.18
C 0.2260 0.2260 0.2182  3 Mo 2.14-2.18
C 0.4528 0.4528 0.2473  1 Mo 2.01
C 0.5472 0.5472 0.7527  1 Mo 2.01
C 0.7740 0.7740 0.7818  3 Mo 2.14-2.18

(6)
This record from Alexandria via LeMat-Bulk describes a relaxed structure of DyLuRuPt. The functional is PBE.

Properties
**Symmetry**: F-43m, No. 216
**ΔE_f**: -0.85 eV/atom
**Magnetization**: 0.00 μB per formula unit

Cell: 4.8168 4.8168 4.8168 Å, 60.00 60.00 60.00°
With the nearest neighbours (Å) after each atom.
Atoms (fractional coordinates):
Dy 0.0000 0.0000 0.0000  4 Ru 2.95, 4 Pt 2.95
Lu 0.5000 0.5000 0.5000  4 Ru 2.95, 4 Pt 2.95
Ru 0.2500 0.2500 0.2500  4 Dy 2.95, 4 Lu 2.95
Pt 0.7500 0.7500 0.7500  4 Dy 2.95, 4 Lu 2.95